{"formula": "ScAlCl2", "functional": "GGA-PBE", "state": "optimized geometry", "cell": [[1.7310, -2.9369, 0.0000], [1.7310, 2.9369, 0.0000], [0.0000, 0.0000, 9.5453]], "species": ["Sc", "Al", "Cl", "Cl"], "frac_coords": [[0.0000, 0.0000, 0.0000], [0.5000, 0.5000, 0.7618], [0.0000, 0.0000, 0.5846], [0.5000, 0.5000, 0.1885]], "sg": "Cmm2 (35)", "dos_at_fermi_per_ev_cell": 2.554, "e_form_raw_ev_per_atom": -0.945, "polymorph_energy_mev_per_atom": 85.6, "crystal_system": "orthorhombic", "magmom_total_mub_per_fu": 0.275}